Here is LaScCd after structural relaxation from the Alexandria database. Energies are from PBE-GGA.

SG ... No. 5
Excess energy over the best structure of this formula in the dataset ... 0.073 eV per atom
Energy relative to the elements ... -0.10 eV/atom

Structure (POSCAR):
```
LaScCd
1.0
5.017 -2.953 0.000
5.017 2.953 0.000
-2.798 0.000 5.480
La Sc Cd
2 2 2
Direct
0.000 0.000 0.000
0.784 0.216 0.500
0.313 0.356 0.976
0.644 0.687 0.024
0.136 0.535 0.479
0.465 0.864 0.521
```

Here is Li2MnW after structural relaxation from the Alexandria database. Energies are from PBE-GGA.

SG ... No. 119
Excess energy over the best structure of this formula in the dataset ... 0.251 eV per atom
Energy relative to the elements ... 0.56 eV/atom

Structure (POSCAR):
```
Li2MnW
1.0
-2.105 2.105 2.988
2.105 -2.105 2.988
2.105 2.105 -2.988
Li Mn W
2 1 1
Direct
0.000 0.000 0.000
0.750 0.250 0.500
0.250 0.750 0.500
0.500 0.500 0.000
```

Here is La6Y4Mg after structural relaxation from the Alexandria database. Energies are from PBE-GGA.

SG ... No. 121
Energy relative to the elements ... 0.21 eV/atom

Structure (POSCAR):
```
La6Y4Mg
1.0
-3.351 3.351 8.298
3.351 -3.351 8.298
3.351 3.351 -8.298
La Y Mg
6 4 1
Direct
0.000 0.500 0.500
0.222 0.222 0.680
0.458 0.778 0.000
0.500 0.000 0.500
0.542 0.542 0.320
0.778 0.458 0.000
0.003 0.003 0.642
0.361 0.361 0.358
0.639 0.997 0.000
0.997 0.639 0.000
0.000 0.000 0.000
```